The following is a DFT calculation (PBE-GGA) of Pm3Se2N after structural relaxation.

Summary:
- V: 22.87 Å³/atom
- Space-group type: C2/c (15)
- Energy relative to the elements, uncorrected: -1.64 eV per atom
- Crystal system: monoclinic

abc: 5.699 7.620 7.191
angles: 105.38 113.34 90.00
Positions (direct):
1 Pm 0.868 0.434 0.736
2 Pm 0.868 0.934 0.736
3 Pm 0.501 0.750 0.000
4 Pm 0.132 0.566 0.264
5 Pm 0.132 0.066 0.264
6 Pm 0.499 0.250 0.000
7 Se 0.677 0.089 0.355
8 Se 0.323 0.411 0.645
9 Se 0.323 0.911 0.645
10 Se 0.677 0.589 0.355
11 N 0.001 0.250 0.000
12 N 0.999 0.750 0.000